# 1
{
  "formula": "Ag2OsCl",
  "functional": "SCAN",
  "state": "PBEsol geometry",
  "relative_energy_mev_per_atom": 185,
  "formation_energy_uncorrected_ev_per_atom": 0.763,
  "spacegroup": "No. 99",
  "lattice": [[2.844, 0.000, 0.000], [0.000, 2.844, 0.000], [0.000, 0.000, 8.159]],
  "species": ["Ag", "Ag", "Os", "Cl"],
  "fractional_positions": [[0.000, 0.000, 0.000], [0.500, 0.500, 0.247], [0.500, 0.500, 0.755], [0.000, 0.000, 0.564]]
}

# 2
{
  "formula": "AgOs2Cl",
  "functional": "SCAN",
  "state": "PBEsol geometry",
  "relative_energy_mev_per_atom": 220,
  "formation_energy_uncorrected_ev_per_atom": 1.299,
  "spacegroup": "No. 216",
  "lattice": [[6.239, 0.000, 0.000], [0.000, 6.239, 0.000], [0.000, 0.000, 6.239]],
  "species": ["Ag", "Ag", "Ag", "Ag", "Os", "Os", "Os", "Os", "Os", "Os", "Os", "Os", "Cl", "Cl", "Cl", "Cl"],
  "fractional_positions": [[0.000, 0.000, 0.000], [0.000, 0.500, 0.500], [0.500, 0.000, 0.500], [0.500, 0.500, 0.000], [0.000, 0.000, 0.500], [0.000, 0.500, 0.000], [0.250, 0.250, 0.250], [0.250, 0.750, 0.750], [0.500, 0.000, 0.000], [0.500, 0.500, 0.500], [0.750, 0.250, 0.750], [0.750, 0.750, 0.250], [0.250, 0.250, 0.750], [0.250, 0.750, 0.250], [0.750, 0.250, 0.250], [0.750, 0.750, 0.750]]
}

# 3
{
  "formula": "AgOs2Cl",
  "functional": "SCAN",
  "state": "PBEsol geometry",
  "relative_energy_mev_per_atom": 723,
  "formation_energy_uncorrected_ev_per_atom": 1.802,
  "spacegroup": "No. 123",
  "lattice": [[4.486, 0.000, 0.000], [0.000, 4.486, 0.000], [0.000, 0.000, 2.931]],
  "species": ["Ag", "Os", "Os", "Cl"],
  "fractional_positions": [[0.000, 0.000, 0.000], [0.000, 0.500, 0.500], [0.500, 0.000, 0.500], [0.500, 0.500, 0.000]]
}

# 4
{
  "formula": "Ag2OsCl",
  "functional": "SCAN",
  "state": "PBEsol geometry",
  "relative_energy_mev_per_atom": 0,
  "formation_energy_uncorrected_ev_per_atom": 0.577,
  "spacegroup": "No. 35",
  "lattice": [[2.801, 0.000, 0.000], [0.000, 5.025, 0.000], [0.000, 0.000, 9.268]],
  "species": ["Ag", "Ag", "Ag", "Ag", "Os", "Os", "Cl", "Cl"],
  "fractional_positions": [[0.000, 0.000, 0.000], [0.000, 0.500, 0.258], [0.500, 0.000, 0.258], [0.500, 0.500, 0.000], [0.000, 0.500, 0.746], [0.500, 0.000, 0.746], [0.000, 0.000, 0.539], [0.500, 0.500, 0.539]]
}

# 5
{
  "formula": "AgP2OsCl",
  "functional": "SCAN",
  "state": "PBEsol geometry",
  "formation_energy_uncorrected_ev_per_atom": 0.555,
  "spacegroup": "No. 123",
  "lattice": [[4.456, 0.000, 0.000], [0.000, 4.456, 0.000], [0.000, 0.000, 5.182]],
  "species": ["Ag", "P", "P", "Os", "Cl"],
  "fractional_positions": [[0.000, 0.000, 0.000], [0.000, 0.500, 0.500], [0.500, 0.000, 0.500], [0.500, 0.500, 0.500], [0.500, 0.500, 0.000]]
}

# 6
{
  "formula": "SrAg2OsCl",
  "functional": "SCAN",
  "state": "PBEsol geometry",
  "formation_energy_uncorrected_ev_per_atom": 0.346,
  "spacegroup": "No. 123",
  "lattice": [[5.206, 0.000, 0.000], [0.000, 5.206, 0.000], [0.000, 0.000, 4.409]],
  "species": ["Sr", "Ag", "Ag", "Os", "Cl"],
  "fractional_positions": [[0.000, 0.000, 0.000], [0.000, 0.500, 0.500], [0.500, 0.000, 0.500], [0.500, 0.500, 0.500], [0.500, 0.500, 0.000]]
}

# 7
{
  "formula": "AgPCl2",
  "functional": "SCAN",
  "state": "PBEsol geometry",
  "relative_energy_mev_per_atom": 412,
  "formation_energy_uncorrected_ev_per_atom": 0.526,
  "spacegroup": "No. 225",
  "lattice": [[6.604, 0.000, 0.000], [0.000, 6.604, 0.000], [0.000, 0.000, 6.604]],
  "species": ["Ag", "Ag", "Ag", "Ag", "P", "P", "P", "P", "Cl", "Cl", "Cl", "Cl", "Cl", "Cl", "Cl", "Cl"],
  "fractional_positions": [[0.000, 0.000, 0.000], [0.000, 0.500, 0.500], [0.500, 0.000, 0.500], [0.500, 0.500, 0.000], [0.000, 0.000, 0.500], [0.000, 0.500, 0.000], [0.500, 0.000, 0.000], [0.500, 0.500, 0.500], [0.250, 0.250, 0.250], [0.250, 0.250, 0.750], [0.250, 0.750, 0.250], [0.250, 0.750, 0.750], [0.750, 0.250, 0.250], [0.750, 0.250, 0.750], [0.750, 0.750, 0.250], [0.750, 0.750, 0.750]]
}

# 8
{
  "formula": "Ag3PCl",
  "functional": "SCAN",
  "state": "PBEsol geometry",
  "formation_energy_uncorrected_ev_per_atom": 0.788,
  "spacegroup": "No. 221",
  "lattice": [[4.776, 0.000, 0.000], [0.000, 4.776, 0.000], [0.000, 0.000, 4.776]],
  "species": ["Ag", "Ag", "Ag", "P", "Cl"],
  "fractional_positions": [[0.000, 0.000, 0.500], [0.000, 0.500, 0.000], [0.500, 0.000, 0.000], [0.500, 0.500, 0.500], [0.000, 0.000, 0.000]]
}

# 9
{
  "formula": "AgPCl2",
  "functional": "SCAN",
  "state": "PBEsol geometry",
  "relative_energy_mev_per_atom": 0,
  "formation_energy_uncorrected_ev_per_atom": 0.114,
  "spacegroup": "No. 44",
  "lattice": [[3.154, 0.000, 0.000], [0.000, 3.854, 0.000], [0.000, 0.000, 13.636]],
  "species": ["Ag", "Ag", "P", "P", "Cl", "Cl", "Cl", "Cl"],
  "fractional_positions": [[0.000, 0.000, 0.000], [0.500, 0.500, 0.500], [0.000, 0.500, 0.357], [0.500, 0.000, 0.857], [0.000, 0.000, 0.585], [0.000, 0.500, 0.806], [0.500, 0.000, 0.306], [0.500, 0.500, 0.085]]
}

# 10
{
  "formula": "RbAgP2Cl",
  "functional": "SCAN",
  "state": "PBEsol geometry",
  "formation_energy_uncorrected_ev_per_atom": 1.189,
  "spacegroup": "No. 123",
  "lattice": [[6.298, 0.000, 0.000], [0.000, 6.298, 0.000], [0.000, 0.000, 5.736]],
  "species": ["Rb", "Ag", "P", "P", "Cl"],
  "fractional_positions": [[0.000, 0.000, 0.000], [0.500, 0.500, 0.500], [0.000, 0.500, 0.000], [0.500, 0.000, 0.000], [0.000, 0.000, 0.500]]
}

# 11
{
  "formula": "ReAgP2Cl",
  "functional": "SCAN",
  "state": "PBEsol geometry",
  "formation_energy_uncorrected_ev_per_atom": 0.497,
  "spacegroup": "No. 123",
  "lattice": [[4.500, 0.000, 0.000], [0.000, 4.500, 0.000], [0.000, 0.000, 5.134]],
  "species": ["Re", "Ag", "P", "P", "Cl"],
  "fractional_positions": [[0.000, 0.000, 0.000], [0.500, 0.500, 0.500], [0.000, 0.500, 0.000], [0.500, 0.000, 0.000], [0.000, 0.000, 0.500]]
}

# 12
{
  "formula": "AgPSCl2",
  "functional": "SCAN",
  "state": "PBEsol geometry",
  "relative_energy_mev_per_atom": 87,
  "formation_energy_uncorrected_ev_per_atom": 0.687,
  "spacegroup": "No. 123",
  "lattice": [[4.710, 0.000, 0.000], [0.000, 4.710, 0.000], [0.000, 0.000, 5.041]],
  "species": ["Ag", "P", "S", "Cl", "Cl"],
  "fractional_positions": [[0.000, 0.000, 0.000], [0.000, 0.000, 0.500], [0.500, 0.500, 0.500], [0.000, 0.500, 0.000], [0.500, 0.000, 0.000]]
}

# 13
{
  "formula": "AgPSCl2",
  "functional": "SCAN",
  "state": "PBEsol geometry",
  "relative_energy_mev_per_atom": 0,
  "formation_energy_uncorrected_ev_per_atom": 0.600,
  "spacegroup": "No. 123",
  "lattice": [[5.236, 0.000, 0.000], [0.000, 5.236, 0.000], [0.000, 0.000, 4.153]],
  "species": ["Ag", "P", "S", "Cl", "Cl"],
  "fractional_positions": [[0.000, 0.000, 0.000], [0.500, 0.500, 0.000], [0.500, 0.500, 0.500], [0.000, 0.500, 0.500], [0.500, 0.000, 0.500]]
}

# 14
{
  "formula": "AgPSeCl2",
  "functional": "SCAN",
  "state": "PBEsol geometry",
  "formation_energy_uncorrected_ev_per_atom": 0.531,
  "spacegroup": "No. 123",
  "lattice": [[4.894, 0.000, 0.000], [0.000, 4.894, 0.000], [0.000, 0.000, 4.945]],
  "species": ["Ag", "P", "Se", "Cl", "Cl"],
  "fractional_positions": [[0.000, 0.000, 0.000], [0.500, 0.500, 0.000], [0.500, 0.500, 0.500], [0.000, 0.500, 0.500], [0.500, 0.000, 0.500]]
}

# 15
{
  "formula": "TaAgP2Cl",
  "functional": "SCAN",
  "state": "PBEsol geometry",
  "formation_energy_uncorrected_ev_per_atom": 1.365,
  "spacegroup": "No. 123",
  "lattice": [[4.663, 0.000, 0.000], [0.000, 4.663, 0.000], [0.000, 0.000, 4.625]],
  "species": ["Ta", "Ag", "P", "P", "Cl"],
  "fractional_positions": [[0.000, 0.000, 0.000], [0.500, 0.500, 0.500], [0.000, 0.500, 0.500], [0.500, 0.000, 0.500], [0.500, 0.500, 0.000]]
}

# 16
{
  "formula": "TcAgP2Cl",
  "functional": "SCAN",
  "state": "PBEsol geometry",
  "formation_energy_uncorrected_ev_per_atom": 1.294,
  "spacegroup": "No. 123",
  "lattice": [[4.715, 0.000, 0.000], [0.000, 4.715, 0.000], [0.000, 0.000, 4.772]],
  "species": ["Tc", "Ag", "P", "P", "Cl"],
  "fractional_positions": [[0.000, 0.000, 0.000], [0.500, 0.500, 0.500], [0.000, 0.500, 0.500], [0.500, 0.000, 0.500], [0.500, 0.500, 0.000]]
}

# 17
{
  "formula": "AgPbCl",
  "functional": "SCAN",
  "state": "PBEsol geometry",
  "relative_energy_mev_per_atom": 190,
  "formation_energy_uncorrected_ev_per_atom": -0.103,
  "spacegroup": "No. 156",
  "lattice": [[4.824, 0.000, 0.000], [-2.412, 4.178, 0.000], [0.000, 0.000, 3.325]],
  "species": ["Ag", "Pb", "Cl"],
  "fractional_positions": [[0.000, 0.000, 0.000], [0.667, 0.333, 0.495], [0.333, 0.667, 0.991]]
}

# 18
{
  "formula": "Ag2PbCl",
  "functional": "SCAN",
  "state": "PBEsol geometry",
  "relative_energy_mev_per_atom": 190,
  "formation_energy_uncorrected_ev_per_atom": 0.098,
  "spacegroup": "No. 216",
  "lattice": [[7.017, 0.000, 0.000], [0.000, 7.017, 0.000], [0.000, 0.000, 7.017]],
  "species": ["Ag", "Ag", "Ag", "Ag", "Ag", "Ag", "Ag", "Ag", "Pb", "Pb", "Pb", "Pb", "Cl", "Cl", "Cl", "Cl"],
  "fractional_positions": [[0.000, 0.000, 0.000], [0.000, 0.500, 0.500], [0.250, 0.250, 0.250], [0.250, 0.750, 0.750], [0.500, 0.000, 0.500], [0.500, 0.500, 0.000], [0.750, 0.250, 0.750], [0.750, 0.750, 0.250], [0.000, 0.000, 0.500], [0.000, 0.500, 0.000], [0.500, 0.000, 0.000], [0.500, 0.500, 0.500], [0.250, 0.250, 0.750], [0.250, 0.750, 0.250], [0.750, 0.250, 0.250], [0.750, 0.750, 0.750]]
}

# 19
{
  "formula": "AgPbCl",
  "functional": "SCAN",
  "state": "PBEsol geometry",
  "relative_energy_mev_per_atom": 0,
  "formation_energy_uncorrected_ev_per_atom": -0.293,
  "spacegroup": "No. 107",
  "lattice": [[3.405, 0.000, 0.000], [0.000, 3.405, 0.000], [0.000, 0.000, 11.585]],
  "species": ["Ag", "Ag", "Pb", "Pb", "Cl", "Cl"],
  "fractional_positions": [[0.000, 0.000, 0.000], [0.500, 0.500, 0.500], [0.000, 0.000, 0.338], [0.500, 0.500, 0.838], [0.000, 0.000, 0.633], [0.500, 0.500, 0.133]]
}

# 20
{
  "formula": "Ag2PbCl",
  "functional": "SCAN",
  "state": "PBEsol geometry",
  "relative_energy_mev_per_atom": 0,
  "formation_energy_uncorrected_ev_per_atom": -0.092,
  "spacegroup": "No. 65",
  "lattice": [[4.409, 0.000, 0.000], [0.000, 4.916, 0.000], [0.000, 0.000, 7.608]],
  "species": ["Ag", "Ag", "Ag", "Ag", "Pb", "Pb", "Cl", "Cl"],
  "fractional_positions": [[0.000, 0.000, 0.232], [0.000, 0.000, 0.768], [0.500, 0.500, 0.232], [0.500, 0.500, 0.768], [0.000, 0.500, 0.500], [0.500, 0.000, 0.500], [0.000, 0.500, 0.000], [0.500, 0.000, 0.000]]
}

# 21
{
  "formula": "Ag4PbCl",
  "functional": "SCAN",
  "state": "PBEsol geometry",
  "formation_energy_uncorrected_ev_per_atom": 0.054,
  "spacegroup": "No. 216",
  "lattice": [[0.000, 3.906, 3.906], [3.906, 0.000, 3.906], [3.906, 3.906, 0.000]],
  "species": ["Ag", "Ag", "Ag", "Ag", "Pb", "Cl"],
  "fractional_positions": [[0.125, 0.125, 0.125], [0.125, 0.125, 0.625], [0.125, 0.625, 0.125], [0.625, 0.125, 0.125], [0.500, 0.500, 0.500], [0.750, 0.750, 0.750]]
}

# 22
{
  "formula": "Ag2PdCl4",
  "functional": "SCAN",
  "state": "PBEsol geometry",
  "formation_energy_uncorrected_ev_per_atom": -0.567,
  "spacegroup": "No. 64",
  "lattice": [[4.904, -4.015, 0.000], [4.904, 4.015, 0.000], [0.000, 0.000, 7.935]],
  "species": ["Ag", "Ag", "Ag", "Ag", "Pd", "Pd", "Cl", "Cl", "Cl", "Cl", "Cl", "Cl", "Cl", "Cl"],
  "fractional_positions": [[0.031, 0.469, 0.250], [0.469, 0.031, 0.750], [0.531, 0.969, 0.250], [0.969, 0.531, 0.750], [0.000, 0.000, 0.000], [0.500, 0.500, 0.500], [0.197, 0.803, 0.209], [0.233, 0.233, 0.000], [0.267, 0.267, 0.500], [0.303, 0.697, 0.709], [0.697, 0.303, 0.291], [0.733, 0.733, 0.500], [0.767, 0.767, 0.000], [0.803, 0.197, 0.791]]
}

# 23
{
  "formula": "AgPd2RhCl",
  "functional": "SCAN",
  "state": "PBEsol geometry",
  "formation_energy_uncorrected_ev_per_atom": 0.752,
  "spacegroup": "No. 123",
  "lattice": [[4.842, 0.000, 0.000], [0.000, 4.842, 0.000], [0.000, 0.000, 4.329]],
  "species": ["Ag", "Pd", "Pd", "Rh", "Cl"],
  "fractional_positions": [[0.000, 0.000, 0.000], [0.000, 0.500, 0.500], [0.500, 0.000, 0.500], [0.500, 0.500, 0.500], [0.500, 0.500, 0.000]]
}

# 24
{
  "formula": "Ag2PdRhCl",
  "functional": "SCAN",
  "state": "PBEsol geometry",
  "formation_energy_uncorrected_ev_per_atom": 0.987,
  "spacegroup": "No. 123",
  "lattice": [[4.615, 0.000, 0.000], [0.000, 4.615, 0.000], [0.000, 0.000, 4.391]],
  "species": ["Ag", "Ag", "Pd", "Rh", "Cl"],
  "fractional_positions": [[0.000, 0.500, 0.000], [0.500, 0.000, 0.000], [0.000, 0.000, 0.500], [0.500, 0.500, 0.500], [0.000, 0.000, 0.000]]
}

# 25
{
  "formula": "AgPdSCl2",
  "functional": "SCAN",
  "state": "PBEsol geometry",
  "formation_energy_uncorrected_ev_per_atom": 0.451,
  "spacegroup": "No. 123",
  "lattice": [[4.756, 0.000, 0.000], [0.000, 4.756, 0.000], [0.000, 0.000, 4.869]],
  "species": ["Ag", "Pd", "S", "Cl", "Cl"],
  "fractional_positions": [[0.000, 0.000, 0.000], [0.500, 0.500, 0.500], [0.000, 0.000, 0.500], [0.000, 0.500, 0.000], [0.500, 0.000, 0.000]]
}

# 26
{
  "formula": "AgPdWCl2",
  "functional": "SCAN",
  "state": "PBEsol geometry",
  "formation_energy_uncorrected_ev_per_atom": 1.233,
  "spacegroup": "No. 123",
  "lattice": [[4.601, 0.000, 0.000], [0.000, 4.601, 0.000], [0.000, 0.000, 5.201]],
  "species": ["Ag", "Pd", "W", "Cl", "Cl"],
  "fractional_positions": [[0.000, 0.000, 0.000], [0.000, 0.000, 0.500], [0.500, 0.500, 0.000], [0.000, 0.500, 0.500], [0.500, 0.000, 0.500]]
}

# 27
{
  "formula": "AgPt2Cl",
  "functional": "SCAN",
  "state": "PBEsol geometry",
  "relative_energy_mev_per_atom": 0,
  "formation_energy_uncorrected_ev_per_atom": 0.276,
  "spacegroup": "No. 99",
  "lattice": [[2.900, 0.000, 0.000], [0.000, 2.900, 0.000], [0.000, 0.000, 7.723]],
  "species": ["Ag", "Pt", "Pt", "Cl"],
  "fractional_positions": [[0.000, 0.000, 0.000], [0.000, 0.000, 0.518], [0.500, 0.500, 0.749], [0.500, 0.500, 0.264]]
}

# 28
{
  "formula": "AgPt2Cl",
  "functional": "SCAN",
  "state": "PBEsol geometry",
  "relative_energy_mev_per_atom": 130,
  "formation_energy_uncorrected_ev_per_atom": 0.406,
  "spacegroup": "No. 166",
  "lattice": [[2.880, 0.000, 0.000], [-1.440, 2.494, 0.000], [0.000, 0.000, 26.143]],
  "species": ["Ag", "Ag", "Ag", "Pt", "Pt", "Pt", "Pt", "Pt", "Pt", "Cl", "Cl", "Cl"],
  "fractional_positions": [[0.000, 0.000, 0.000], [0.333, 0.667, 0.667], [0.667, 0.333, 0.333], [0.000, 0.000, 0.247], [0.000, 0.000, 0.753], [0.333, 0.667, 0.419], [0.333, 0.667, 0.914], [0.667, 0.333, 0.086], [0.667, 0.333, 0.581], [0.000, 0.000, 0.500], [0.333, 0.667, 0.167], [0.667, 0.333, 0.833]]
}

# 29
{
  "formula": "AgPt2Cl",
  "functional": "SCAN",
  "state": "PBEsol geometry",
  "relative_energy_mev_per_atom": 389,
  "formation_energy_uncorrected_ev_per_atom": 0.665,
  "spacegroup": "No. 123",
  "lattice": [[4.749, 0.000, 0.000], [0.000, 4.749, 0.000], [0.000, 0.000, 2.832]],
  "species": ["Ag", "Pt", "Pt", "Cl"],
  "fractional_positions": [[0.000, 0.000, 0.000], [0.000, 0.500, 0.500], [0.500, 0.000, 0.500], [0.500, 0.500, 0.000]]
}